# Mn4H3, optimized geometry, DFT PBE
# V   96.4 Å³/cell
data_Mn4H3
_chemical_formula_sum 'Mn8 H6'
_space_group_name_H-M_alt 'C 1 2/m 1'
_space_group_IT_number 12
_cell_length_a 9.3473
_cell_length_b 2.6033
_cell_length_c 4.5213
_cell_angle_alpha 90.00
_cell_angle_beta 118.84
_cell_angle_gamma 90.00
loop_
_space_group_symop_operation_xyz
'x,y,z'
'-x,-y,-z'
'-x,y,-z'
'x,-y,z'
'x+1/2,y+1/2,z'
'-x+1/2,-y+1/2,-z'
'-x+1/2,y+1/2,-z'
'x+1/2,-y+1/2,z'
loop_
_atom_site_label
_atom_site_type_symbol
_atom_site_fract_x
_atom_site_fract_y
_atom_site_fract_z
Mn1 Mn 0.1197 0.0000 0.4575
Mn2 Mn 0.1234 0.5000 0.9516
H1 H 0.0000 0.0000 0.0000
H2 H 0.2443 0.5000 0.7389

# MnH3, optimized geometry, DFT PBE
# V   19.1 Å³/cell
data_MnH3
_chemical_formula_sum 'Mn1 H3'
_space_group_name_H-M_alt 'P m -3 m'
_space_group_IT_number 221
_space_group_name_Hall '-P 4 2 3'
_cell_length_a 2.6720
_cell_length_b 2.6720
_cell_length_c 2.6720
_cell_angle_alpha 90.00
_cell_angle_beta 90.00
_cell_angle_gamma 90.00
loop_
_atom_site_label
_atom_site_type_symbol
_atom_site_fract_x
_atom_site_fract_y
_atom_site_fract_z
Mn1 Mn 0.0000 0.0000 0.0000
H1 H 0.0000 0.5000 0.5000

Total DFT energy (no corrections) list, top to bottom, in eV for the cell shown: -94.5, -18.4